# PrPa2PdN4 | the Alexandria database | PBE | optimized geometry
# ΔE_f (raw) = -9.9 eV/f.u.
# Density of states at the Fermi level = 4.178 states/eV/f.u.
# M_tot = 0.00 μB/f.u.
# Energy = -0.3314 hartree per atom
data_PrPa2PdN4
_cell_length_a 6.059
_cell_length_b 6.059
_cell_length_c 11.930
_cell_angle_alpha 90.00
_cell_angle_beta 90.00
_cell_angle_gamma 145.70
_space_group_name_H-M_alt 'P 1'
_space_group_IT_number 1
_space_group_name_Hall 'P 1'
loop_
_atom_site_label
_atom_site_type_symbol
_atom_site_fract_x
_atom_site_fract_y
_atom_site_fract_z
Pr1 Pr 0.102 0.898 0.750
Pr2 Pr 0.898 0.102 0.250
Pa1 Pa 0.370 0.630 0.560
Pa2 Pa 0.370 0.630 0.940
Pa3 Pa 0.630 0.370 0.060
Pa4 Pa 0.630 0.370 0.440
Pd1 Pd 0.168 0.832 0.250
Pd2 Pd 0.832 0.168 0.750
N1 N 0.000 0.000 0.000
N2 N 0.000 0.000 0.500
N3 N 0.269 0.731 0.097
N4 N 0.269 0.731 0.403
N5 N 0.459 0.541 0.750
N6 N 0.541 0.459 0.250
N7 N 0.731 0.269 0.597
N8 N 0.731 0.269 0.903



# PrPaPdN3 | the Alexandria database | PBE | optimized geometry
# ΔE_f (raw) = -6.1 eV/f.u.
# Density of states at the Fermi level = 4.540 states/eV/f.u.
# M_tot = 0.00 μB/f.u.
# Energy = -0.3095 hartree per atom
data_PrPaPdN3
_cell_length_a 6.521
_cell_length_b 3.702
_cell_length_c 9.032
_cell_angle_alpha 90.00
_cell_angle_beta 105.78
_cell_angle_gamma 90.00
_space_group_name_H-M_alt 'P 1'
_space_group_IT_number 1
_space_group_name_Hall 'P 1'
loop_
_atom_site_label
_atom_site_type_symbol
_atom_site_fract_x
_atom_site_fract_y
_atom_site_fract_z
Pr1 Pr 0.021 0.250 0.302
Pr2 Pr 0.979 0.750 0.698
Pa1 Pa 0.475 0.250 0.666
Pa2 Pa 0.525 0.750 0.334
Pd1 Pd 0.318 0.250 0.997
Pd2 Pd 0.682 0.750 0.003
N1 N 0.207 0.250 0.763
N2 N 0.299 0.750 0.497
N3 N 0.347 0.250 0.225
N4 N 0.653 0.750 0.775
N5 N 0.701 0.250 0.503
N6 N 0.793 0.750 0.237